! Nb8Tl8O25, single point on PBEsol structure, DFT SCAN; values from VASP
&SYSTEM
  ibrav = 0, nat = 41, ntyp = 3
/
ATOMIC_SPECIES
Nb 92.91 Nb.upf
Tl 204.38 Tl.upf
O 16.00 O.upf
CELL_PARAMETERS angstrom
3.772 2.178 12.376
-3.772 2.178 12.376
0.000 -4.355 12.376
ATOMIC_POSITIONS crystal
Nb 0.000 0.000 0.000
Nb 0.246 0.750 0.750
Nb 0.250 0.250 0.747
Nb 0.250 0.747 0.250
Nb 0.500 0.500 0.500
Nb 0.747 0.250 0.250
Nb 0.750 0.246 0.750
Nb 0.750 0.750 0.246
Tl 0.001 0.001 0.499
Tl 0.001 0.499 0.001
Tl 0.256 0.256 0.256
Tl 0.499 0.001 0.001
Tl 0.508 0.508 0.987
Tl 0.508 0.987 0.508
Tl 0.747 0.747 0.747
Tl 0.987 0.508 0.508
O 0.028 0.028 0.648
O 0.028 0.648 0.028
O 0.154 0.154 0.775
O 0.154 0.775 0.154
O 0.157 0.526 0.526
O 0.209 0.842 0.842
O 0.271 0.654 0.654
O 0.339 0.965 0.965
O 0.340 0.340 0.716
O 0.340 0.716 0.340
O 0.466 0.466 0.834
O 0.466 0.834 0.466
O 0.526 0.157 0.526
O 0.526 0.526 0.157
O 0.648 0.028 0.028
O 0.654 0.271 0.654
O 0.654 0.654 0.271
O 0.716 0.340 0.340
O 0.775 0.154 0.154
O 0.815 0.815 0.815
O 0.834 0.466 0.466
O 0.842 0.209 0.842
O 0.842 0.842 0.209
O 0.965 0.339 0.965
O 0.965 0.965 0.339
! - energy (eV/atom) = -26.527



! LiCo2O3, single point on PBEsol structure, DFT SCAN; values from VASP
&SYSTEM
  ibrav = 0, nat = 6, ntyp = 3
/
ATOMIC_SPECIES
Li 6.94 Li.upf
Co 58.93 Co.upf
O 16.00 O.upf
CELL_PARAMETERS angstrom
-1.412 1.968 4.309
1.412 -1.968 4.309
1.412 1.968 -4.309
ATOMIC_POSITIONS crystal
Li 0.000 0.000 0.000
Co 0.338 0.338 0.000
Co 0.662 0.662 0.000
O 0.188 0.688 0.500
O 0.500 0.000 0.500
O 0.812 0.312 0.500
! - energy (eV/atom) = -10.790



! AlZn2In, single point on PBEsol structure, DFT SCAN; values from VASP
&SYSTEM
  ibrav = 0, nat = 4, ntyp = 3
/
ATOMIC_SPECIES
Al 26.98 Al.upf
Zn 65.41 Zn.upf
In 114.82 In.upf
CELL_PARAMETERS angstrom
3.280 0.000 0.000
0.000 3.280 0.000
0.000 0.000 6.650
ATOMIC_POSITIONS crystal
Al 0.000 0.000 0.000
Zn 0.000 0.000 0.582
Zn 0.500 0.500 0.783
In 0.500 0.500 0.299
! - energy above the lowest structure with this stoichiometry (meV/atom) = 29.6
! - ΔE_f (eV/atom) = 0.17
! - energy (eV/atom) = -16.873



! YTcNi, single point on PBEsol structure, DFT SCAN; values from VASP
&SYSTEM
  ibrav = 0, nat = 3, ntyp = 3
/
ATOMIC_SPECIES
Y 88.91 Y.upf
Tc 98.00 Tc.upf
Ni 58.69 Ni.upf
CELL_PARAMETERS angstrom
0.000 3.030 3.030
3.030 0.000 3.030
3.030 3.030 0.000
ATOMIC_POSITIONS crystal
Y 0.000 0.000 0.000
Tc 0.750 0.750 0.750
Ni 0.500 0.500 0.500
! - ΔE_f (eV/atom) = 0.65
! - energy (eV/atom) = -25.705



! Re2AuBr, single point on PBEsol structure, DFT SCAN; values from VASP
&SYSTEM
  ibrav = 0, nat = 4, ntyp = 3
/
ATOMIC_SPECIES
Re 186.21 Re.upf
Au 196.97 Au.upf
Br 79.90 Br.upf
CELL_PARAMETERS angstrom
-2.083 2.083 3.713
2.083 -2.083 3.713
2.083 2.083 -3.713
ATOMIC_POSITIONS crystal
Re 0.000 0.000 0.000
Re 0.750 0.250 0.500
Au 0.500 0.500 0.000
Br 0.250 0.750 0.500
! - energy (eV/atom) = -56.298



! SnB2HS, single point on PBEsol structure, DFT SCAN; values from VASP
&SYSTEM
  ibrav = 0, nat = 5, ntyp = 4
/
ATOMIC_SPECIES
Sn 118.71 Sn.upf
B 10.81 B.upf
H 1.01 H.upf
S 32.06 S.upf
CELL_PARAMETERS angstrom
3.684 0.000 0.000
0.000 3.684 0.000
0.000 0.000 5.547
ATOMIC_POSITIONS crystal
Sn 0.000 0.000 0.000
B 0.000 0.500 0.500
B 0.500 0.000 0.500
H 0.500 0.500 0.000
S 0.000 0.000 0.500
! - energy (eV/atom) = -11.106



Going through the records in order, we get density values of 7.56 5.99 6.33 7.33 16.74 3.82 g cm⁻³.